5
Lattice="-0.967 -2.930 -3.149 4.301 -0.615 -0.749 0.059 -3.236 2.994" Properties=species:S:1:pos:R:3 comment="SrMnF3, optimized geometry, DFT PBE with a Hubbard U" space_group="Pm-3m (221)" de_polymorph_ev_per_atom=0.000 n_ef_per_ev_cell=1.13 pbc="T T T"
F -0.483 -1.465 -1.574
F 2.150 -0.307 -0.374
F 0.029 -1.618 1.497
Sr 1.696 -3.390 -0.452
Mn 0.000 0.000 0.000